(1)
Here is a relaxed structure of NaYPt3 from the Alexandria database. Energies are from GGA-PBEsol.

Values from the calculation:
The calculation puts the energy of formation at 0.477 eV/atom.

Geometry as CIF:
```
data_NaYPt3
_chemical_formula_sum 'Na1 Y1 Pt3'
_cell_length_a 4.581
_cell_length_b 4.581
_cell_length_c 4.581
_cell_angle_alpha 90.00
_cell_angle_beta 90.00
_cell_angle_gamma 90.00
_space_group_name_H-M_alt 'P m -3 m'
_space_group_IT_number 221
_space_group_name_Hall '-P 4 2 3'
loop_
_atom_site_label
_atom_site_fract_x
_atom_site_fract_y
_atom_site_fract_z
_atom_site_occupancy
Na1 0.000 0.000 0.000 1
Y1 0.500 0.500 0.500 1
Pt1 0.000 0.000 0.500 1
```


(2)
Here is a relaxed structure of CaTeAs2 from the Alexandria database. Energies are from GGA-PBEsol.

Values from the calculation:
For the uncorrected formation energy, the calculation gives -1.9 eV/f.u.

Geometry as CIF:
```
data_CaTeAs2
_chemical_formula_sum 'Ca1 Te1 As2'
_cell_length_a 4.153
_cell_length_b 4.153
_cell_length_c 5.988
_cell_angle_alpha 90.00
_cell_angle_beta 90.00
_cell_angle_gamma 90.00
_space_group_name_H-M_alt 'P 4 m m'
_space_group_IT_number 99
loop_
_space_group_symop_operation_xyz
'x,y,z'
'-y,x,z'
'-x,-y,z'
'y,-x,z'
'-x,y,z'
'y,x,z'
'x,-y,z'
'-y,-x,z'
loop_
_atom_site_label
_atom_site_fract_x
_atom_site_fract_y
_atom_site_fract_z
_atom_site_occupancy
Ca1 0.000 0.000 0.000 1
Te1 0.500 0.500 0.037 1
As1 0.000 0.000 0.514 1
As2 0.500 0.500 0.584 1
```


(3)
Here is a relaxed structure of La2SnHgAs from the Alexandria database. Energies are from GGA-PBEsol.

Values from the calculation:
The calculation puts the energy of formation at -0.320 eV/atom.

Geometry as CIF:
```
data_La2SnHgAs
_chemical_formula_sum 'La2 Sn1 Hg1 As1'
_cell_length_a 5.646
_cell_length_b 5.646
_cell_length_c 5.168
_cell_angle_alpha 90.00
_cell_angle_beta 90.00
_cell_angle_gamma 90.00
_space_group_name_H-M_alt 'P 4/m m m'
_space_group_IT_number 123
_space_group_name_Hall '-P 4 2'
loop_
_atom_site_label
_atom_site_fract_x
_atom_site_fract_y
_atom_site_fract_z
_atom_site_occupancy
La1 0.000 0.500 0.000 1
Sn1 0.000 0.000 0.500 1
Hg1 0.500 0.500 0.500 1
As1 0.000 0.000 0.000 1
```


(4)
Here is a relaxed structure of NbCd2Au from the Alexandria database. Energies are from GGA-PBEsol.

Values from the calculation:
The calculation puts the energy of formation at 0.251 eV/atom.

Geometry as CIF:
```
data_NbCd2Au
_chemical_formula_sum 'Nb4 Cd8 Au4'
_cell_length_a 6.633
_cell_length_b 6.633
_cell_length_c 6.633
_cell_angle_alpha 90.00
_cell_angle_beta 90.00
_cell_angle_gamma 90.00
_space_group_name_H-M_alt 'F m -3 m'
_space_group_IT_number 225
_space_group_name_Hall '-F 4 2 3'
loop_
_atom_site_label
_atom_site_fract_x
_atom_site_fract_y
_atom_site_fract_z
_atom_site_occupancy
Nb1 0.000 0.000 0.000 1
Cd1 0.250 0.250 0.250 1
Au1 0.000 0.000 0.500 1
```


(5)
Here is a relaxed structure of ZrSbAuF2 from the Alexandria database. Energies are from GGA-PBEsol.

Values from the calculation:
For the uncorrected formation energy, the calculation gives -4.3 eV/f.u.

Geometry as CIF:
```
data_ZrSbAuF2
_chemical_formula_sum 'Zr1 Sb1 Au1 F2'
_cell_length_a 4.158
_cell_length_b 4.158
_cell_length_c 6.103
_cell_angle_alpha 90.00
_cell_angle_beta 90.00
_cell_angle_gamma 90.00
_space_group_name_H-M_alt 'P 4/m m m'
_space_group_IT_number 123
_space_group_name_Hall '-P 4 2'
loop_
_atom_site_label
_atom_site_fract_x
_atom_site_fract_y
_atom_site_fract_z
_atom_site_occupancy
Zr1 0.000 0.000 0.000 1
Sb1 0.000 0.000 0.500 1
Au1 0.500 0.500 0.000 1
F1 0.000 0.500 0.500 1
```


(6)
Here is a relaxed structure of Sc2ReRh from the Alexandria database. Energies are from GGA-PBEsol.

Values from the calculation:
The calculation puts the energy of formation at -0.207 eV/atom.

Geometry as CIF:
```
data_Sc2ReRh
_chemical_formula_sum 'Sc2 Re1 Rh1'
_cell_length_a 2.853
_cell_length_b 4.209
_cell_length_c 5.495
_cell_angle_alpha 90.00
_cell_angle_beta 97.51
_cell_angle_gamma 90.00
_space_group_name_H-M_alt 'P 1 2/m 1'
_space_group_IT_number 10
loop_
_space_group_symop_operation_xyz
'x,y,z'
'-x,-y,-z'
'-x,y,-z'
'x,-y,z'
loop_
_atom_site_label
_atom_site_fract_x
_atom_site_fract_y
_atom_site_fract_z
_atom_site_occupancy
Sc1 0.247 0.000 0.250 1
Re1 0.500 0.500 0.000 1
Rh1 0.000 0.500 0.500 1
```


(7)
Here is a relaxed structure of Na2FeO2 from the Alexandria database. Energies are from GGA-PBEsol.

Values from the calculation:
For the uncorrected formation energy, the calculation gives -6.1 eV/f.u.

Geometry as CIF:
```
data_Na2FeO2
_chemical_formula_sum 'Na8 Fe4 O8'
_cell_length_a 2.774
_cell_length_b 10.249
_cell_length_c 8.491
_cell_angle_alpha 90.00
_cell_angle_beta 90.00
_cell_angle_gamma 90.00
_space_group_name_H-M_alt 'C m c 21'
_space_group_IT_number 36
loop_
_space_group_symop_operation_xyz
'x,y,z'
'-x,-y,z+1/2'
'-x,y,z'
'x,-y,z+1/2'
'x+1/2,y+1/2,z'
'-x+1/2,-y+1/2,z+1/2'
'-x+1/2,y+1/2,z'
'x+1/2,-y+1/2,z+1/2'
loop_
_atom_site_label
_atom_site_fract_x
_atom_site_fract_y
_atom_site_fract_z
_atom_site_occupancy
Na1 0.000 0.107 0.000 1
Na2 0.000 0.353 0.172 1
Fe1 0.000 0.378 0.838 1
O1 0.000 0.018 0.258 1
O2 0.000 0.218 0.435 1
```


(8)
Here is a relaxed structure of Sc3Pb5 from the Alexandria database. Energies are from GGA-PBEsol.

Values from the calculation:
The polymorph energy (0 for the lowest one) is 0.006 eV/atom. The calculation puts the energy of formation at -0.275 eV/atom.

Geometry as CIF:
```
data_Sc3Pb5
_chemical_formula_sum 'Sc6 Pb10'
_cell_length_a 8.6169
_cell_length_b 8.6169
_cell_length_c 6.2525
_cell_angle_alpha 90.00
_cell_angle_beta 90.00
_cell_angle_gamma 120.00
_space_group_name_H-M_alt 'P 63/m c m'
_space_group_IT_number 193
_space_group_name_Hall '-P 6c 2'
loop_
_atom_site_label
_atom_site_fract_x
_atom_site_fract_y
_atom_site_fract_z
_atom_site_occupancy
Sc1 0.0000 0.4046 0.2500 1
Pb1 0.0000 0.2211 0.7500 1
Pb2 0.3333 0.6667 0.0000 1
```


(9)
Here is a relaxed structure of Ce6Mg23C from the Alexandria database. Energies are from GGA-PBEsol.

Values from the calculation:
The calculation puts the energy of formation at 0.000 eV/atom.

Geometry as CIF:
```
data_Ce6Mg23C
_chemical_formula_sum 'Ce24 Mg92 C4'
_cell_length_a 14.210
_cell_length_b 14.210
_cell_length_c 14.210
_cell_angle_alpha 90.00
_cell_angle_beta 90.00
_cell_angle_gamma 90.00
_space_group_name_H-M_alt 'F m -3 m'
_space_group_IT_number 225
_space_group_name_Hall '-F 4 2 3'
loop_
_atom_site_label
_atom_site_fract_x
_atom_site_fract_y
_atom_site_fract_z
_atom_site_occupancy
Ce1 0.000 0.000 0.177 1
Mg1 0.000 0.000 0.500 1
Mg2 0.000 0.250 0.250 1
Mg3 0.120 0.120 0.380 1
Mg4 0.170 0.170 0.170 1
C1 0.000 0.000 0.000 1
```


(10)
Here is a relaxed structure of InSb2Te from the Alexandria database. Energies are from GGA-PBEsol.

Values from the calculation:
For the uncorrected formation energy, the calculation gives -0.1 eV/f.u. The polymorph energy (0 for the lowest one) is 0.095 eV/atom.

Geometry as CIF:
```
data_InSb2Te
_chemical_formula_sum 'In1 Sb2 Te1'
_cell_length_a 3.090
_cell_length_b 6.197
_cell_length_c 6.184
_cell_angle_alpha 90.00
_cell_angle_beta 103.58
_cell_angle_gamma 90.00
_space_group_name_H-M_alt 'P 1 m 1'
_space_group_IT_number 6
loop_
_space_group_symop_operation_xyz
'x,y,z'
'x,-y,z'
loop_
_atom_site_label
_atom_site_fract_x
_atom_site_fract_y
_atom_site_fract_z
_atom_site_occupancy
In1 0.000 0.000 0.000 1
Sb1 0.228 0.500 0.499 1
Sb2 0.247 0.000 0.522 1
Te1 0.002 0.500 0.009 1
```


(11)
Here is a relaxed structure of ZnCoIr2 from the Alexandria database. Energies are from GGA-PBEsol.

Values from the calculation:
The calculation puts the energy of formation at -0.008 eV/atom.

Geometry as CIF:
```
data_ZnCoIr2
_chemical_formula_sum 'Zn1 Co1 Ir2'
_cell_length_a 2.681
_cell_length_b 2.681
_cell_length_c 7.184
_cell_angle_alpha 90.00
_cell_angle_beta 90.00
_cell_angle_gamma 90.00
_space_group_name_H-M_alt 'P 4/m m m'
_space_group_IT_number 123
_space_group_name_Hall '-P 4 2'
loop_
_atom_site_label
_atom_site_fract_x
_atom_site_fract_y
_atom_site_fract_z
_atom_site_occupancy
Zn1 0.000 0.000 0.000 1
Co1 0.000 0.000 0.500 1
Ir1 0.500 0.500 0.267 1
```


(12)
Here is a relaxed structure of AgHgPt2 from the Alexandria database. Energies are from GGA-PBEsol.

Values from the calculation:
The calculation puts the energy of formation at 0.019 eV/atom.

Geometry as CIF:
```
data_AgHgPt2
_chemical_formula_sum 'Ag2 Hg2 Pt4'
_cell_length_a 5.739
_cell_length_b 7.885
_cell_length_c 2.898
_cell_angle_alpha 90.00
_cell_angle_beta 90.00
_cell_angle_gamma 90.00
_space_group_name_H-M_alt 'C m m m'
_space_group_IT_number 65
_space_group_name_Hall '-C 2 2'
loop_
_atom_site_label
_atom_site_fract_x
_atom_site_fract_y
_atom_site_fract_z
_atom_site_occupancy
Ag1 0.000 0.000 0.000 1
Hg1 0.000 0.500 0.000 1
Pt1 0.250 0.250 0.500 1
```


Please write out number 8 again, unchanged.
Here is a relaxed structure of Sc3Pb5 from the Alexandria database. Energies are from GGA-PBEsol.

Values from the calculation:
The polymorph energy (0 for the lowest one) is 0.006 eV/atom. The calculation puts the energy of formation at -0.275 eV/atom.

Geometry as CIF:
```
data_Sc3Pb5
_chemical_formula_sum 'Sc6 Pb10'
_cell_length_a 8.6169
_cell_length_b 8.6169
_cell_length_c 6.2525
_cell_angle_alpha 90.00
_cell_angle_beta 90.00
_cell_angle_gamma 120.00
_space_group_name_H-M_alt 'P 63/m c m'
_space_group_IT_number 193
_space_group_name_Hall '-P 6c 2'
loop_
_atom_site_label
_atom_site_fract_x
_atom_site_fract_y
_atom_site_fract_z
_atom_site_occupancy
Sc1 0.0000 0.4046 0.2500 1
Pb1 0.0000 0.2211 0.7500 1
Pb2 0.3333 0.6667 0.0000 1
```


What did the third record say?
Here is a relaxed structure of La2SnHgAs from the Alexandria database. Energies are from GGA-PBEsol.

Values from the calculation:
The calculation puts the energy of formation at -0.320 eV/atom.

Geometry as CIF:
```
data_La2SnHgAs
_chemical_formula_sum 'La2 Sn1 Hg1 As1'
_cell_length_a 5.646
_cell_length_b 5.646
_cell_length_c 5.168
_cell_angle_alpha 90.00
_cell_angle_beta 90.00
_cell_angle_gamma 90.00
_space_group_name_H-M_alt 'P 4/m m m'
_space_group_IT_number 123
_space_group_name_Hall '-P 4 2'
loop_
_atom_site_label
_atom_site_fract_x
_atom_site_fract_y
_atom_site_fract_z
_atom_site_occupancy
La1 0.000 0.500 0.000 1
Sn1 0.000 0.000 0.500 1
Hg1 0.500 0.500 0.500 1
As1 0.000 0.000 0.000 1
```


Copy entry 6 word for word.
Here is a relaxed structure of Sc2ReRh from the Alexandria database. Energies are from GGA-PBEsol.

Values from the calculation:
The calculation puts the energy of formation at -0.207 eV/atom.

Geometry as CIF:
```
data_Sc2ReRh
_chemical_formula_sum 'Sc2 Re1 Rh1'
_cell_length_a 2.853
_cell_length_b 4.209
_cell_length_c 5.495
_cell_angle_alpha 90.00
_cell_angle_beta 97.51
_cell_angle_gamma 90.00
_space_group_name_H-M_alt 'P 1 2/m 1'
_space_group_IT_number 10
loop_
_space_group_symop_operation_xyz
'x,y,z'
'-x,-y,-z'
'-x,y,-z'
'x,-y,z'
loop_
_atom_site_label
_atom_site_fract_x
_atom_site_fract_y
_atom_site_fract_z
_atom_site_occupancy
Sc1 0.247 0.000 0.250 1
Re1 0.500 0.500 0.000 1
Rh1 0.000 0.500 0.500 1
```